DFT (PBE) results for a relaxed YFeSeN2 crystal.

Cell lengths 4.2041, 4.2041, 5.6510 Å; angles 90.00, 90.00, 90.00 degrees
Space group P4/mmm (No. 123)
Asymmetric unit:
Y 0.0000 0.0000 0.0000
Fe 0.5000 0.5000 0.5000
Se 0.0000 0.0000 0.5000
N 0.0000 0.5000 0.0000

* final energy: -29.7 eV for the cell shown
* ΔE_f (raw): 1073 meV/atom
* energy above the lowest structure with this stoichiometry: 1075 meV/atom
* total magnetic moment: 6.04 μB per cell
* N(E_F): 4.79 states/eV/f.u.

---

DFT (PBE) results for a relaxed ZnFeSe2N crystal.

Cell lengths 5.0922, 5.0922, 3.6705 Å; angles 90.00, 90.00, 90.00 degrees
Space group P4/mmm (No. 123)
Asymmetric unit:
Zn 0.0000 0.0000 0.0000
Fe 0.5000 0.5000 0.5000
Se 0.0000 0.5000 0.0000
N 0.0000 0.0000 0.5000

* final energy: -19.6 eV for the cell shown
* ΔE_f (raw): 1090 meV/atom
* energy above the lowest structure with this stoichiometry: 821 meV/atom
* total magnetic moment: 5.63 μB per cell
* N(E_F): 6.94 states/eV/f.u.

---

DFT (PBE) results for a relaxed ZnFeSe2N crystal.

Cell lengths 4.9609, 4.9609, 3.3810 Å; angles 90.00, 90.00, 90.00 degrees
Space group P4/mmm (No. 123)
Asymmetric unit:
Zn 0.0000 0.0000 0.0000
Fe 0.5000 0.5000 0.5000
Se 0.0000 0.5000 0.5000
N 0.5000 0.5000 0.0000

* final energy: -23.7 eV for the cell shown
* ΔE_f (raw): 269 meV/atom
* energy above the lowest structure with this stoichiometry: 0 meV/atom
* total magnetic moment: 0.44 μB per cell
* N(E_F): 5.18 states/eV/f.u.

---

DFT (PBE) results for a relaxed ZrFeSeN2 crystal.

Cell lengths 3.7518, 3.7518, 4.6411 Å; angles 90.00, 90.00, 90.00 degrees
Space group P4/mmm (No. 123)
Asymmetric unit:
Zr 0.0000 0.0000 0.0000
Fe 0.5000 0.5000 0.5000
Se 0.5000 0.5000 0.0000
N 0.0000 0.5000 0.5000

* final energy: -35.5 eV for the cell shown
* ΔE_f (raw): 331 meV/atom
* energy above the lowest structure with this stoichiometry: 0 meV/atom
* total magnetic moment: 1.89 μB per cell
* N(E_F): 3.14 states/eV/f.u.

---

Number 1 is which compound?
YFeSeN2

---

Copy entry 4 word for word.
DFT (PBE) results for a relaxed ZrFeSeN2 crystal.

Cell lengths 3.7518, 3.7518, 4.6411 Å; angles 90.00, 90.00, 90.00 degrees
Space group P4/mmm (No. 123)
Asymmetric unit:
Zr 0.0000 0.0000 0.0000
Fe 0.5000 0.5000 0.5000
Se 0.5000 0.5000 0.0000
N 0.0000 0.5000 0.5000

* final energy: -35.5 eV for the cell shown
* ΔE_f (raw): 331 meV/atom
* energy above the lowest structure with this stoichiometry: 0 meV/atom
* total magnetic moment: 1.89 μB per cell
* N(E_F): 3.14 states/eV/f.u.